Record 1
PC5 | GGA-PBE | relaxed

Cell lengths 6.8923, 6.8923, 2.5291 Å; angles 90.00, 90.00, 110.87 degrees
Positions (direct):
P 0.0574 0.9426 0.5000
C 0.8419 0.1581 0.0000
C 0.4025 0.5975 0.0000
C 0.7228 0.2772 0.0000
C 0.4023 0.5977 0.5000
C 0.9065 0.0935 0.5000

## Properties
Calculated volume (Å³/f.u.): 112.3
ΔH_f (0 K) (eV/f.u.): 7.52
Energy relative to the lowest polymorph listed for this composition (meV/atom): 491


Record 2
K2HgTe2 | GGA-PBE | relaxed

Cell lengths 8.4380, 8.4380, 5.1553 Å; angles 90.00, 90.00, 90.00 degrees
Positions (direct):
K 0.1400 0.6400 0.5000
K 0.6400 0.8600 0.5000
K 0.8600 0.3600 0.5000
K 0.3600 0.1400 0.5000
Te 0.3247 0.8247 0.0000
Te 0.8247 0.6753 0.0000
Te 0.6753 0.1753 0.0000
Te 0.1753 0.3247 0.0000
Hg 0.0000 0.0000 0.0000
Hg 0.5000 0.5000 0.0000

## Properties
Calculated volume (Å³/f.u.): 183.5
E_form (uncorrected) (kJ/mol of atoms): -57


Record 3
DyY7Er3 | GGA-PBE | relaxed

Cell lengths 8.8587, 9.9612, 5.5292 Å; angles 89.99, 128.62, 105.56 degrees
Positions (direct):
Dy 0.5000 0.5000 0.5000
Y 0.9174 0.8307 0.9174
Y 0.8207 0.6388 0.3207
Y 0.6450 0.2895 0.1451
Y 0.3550 0.7105 0.8549
Y 0.5000 0.0000 0.5000
Y 0.1793 0.3612 0.6793
Y 0.0826 0.1693 0.0826
Er 0.2216 0.0008 0.7217
Er 0.0000 0.5000 0.0000
Er 0.7784 0.9992 0.2783

## Properties
Calculated volume (Å³/f.u.): 358.1
ΔH_f (0 K) (eV/f.u.): 1.62
Energy relative to the lowest polymorph listed for this composition (meV/atom): 0


Record 4
La2Zn2Pd | GGA-PBE | relaxed

Cell lengths 7.0487, 7.0487, 4.7316 Å; angles 90.00, 90.00, 90.00 degrees
Positions (direct):
Zn 0.3665 0.8665 0.0000
Zn 0.8665 0.6335 0.0000
Zn 0.6335 0.1335 0.0000
Zn 0.1335 0.3665 0.0000
Pd 0.0000 0.0000 0.0000
Pd 0.5000 0.5000 0.0000
La 0.1688 0.6688 0.5000
La 0.6688 0.8312 0.5000
La 0.8312 0.3312 0.5000
La 0.3312 0.1688 0.5000

## Properties
Calculated volume (Å³/f.u.): 117.5
ΔH_f (0 K) (eV/f.u.): -2.05
Energy relative to the lowest polymorph listed for this composition (meV/atom): 110


Sequential DOS at the Fermi energy output: 2.785, 0.000, 19.718, 6.490 states/eV per cell